BiMoO2, relaxed, DFT GGA+U; uncorrected energy = -6.449 eV/atom; magnetic moment = 2.989 μB per formula unit; N(E_F) = 0.59 states/eV/f.u.
1.0
1.942 0.000 6.780
-0.971 1.682 6.780
-0.971 -1.682 6.780
Mo Bi O
1 1 2
direct
0.500 0.500 0.500 Mo
0.000 0.000 0.000 Bi
0.883 0.883 0.883 O
0.117 0.117 0.117 O